CeFe3I12 | Alexandria via LeMat-Bulk | GGA-PBE | relaxed; crystal system = hexagonal; ΔE_f (raw) = -0.400 eV per atom; DOS(E_F) = 19.78 states/eV/cell
1.0
14.597 0.000 0.000
-7.299 12.642 0.000
0.000 0.000 8.289
Ce Fe I
2 6 24
direct
0.333 0.667 0.250
0.667 0.333 0.750
0.113 0.698 0.750
0.302 0.415 0.750
0.415 0.113 0.250
0.585 0.887 0.750
0.698 0.585 0.250
0.887 0.302 0.250
0.006 0.499 0.250
0.018 0.801 0.750
0.199 0.218 0.750
0.218 0.018 0.250
0.236 0.473 0.005
0.236 0.473 0.495
0.237 0.764 0.005
0.237 0.764 0.495
0.473 0.237 0.505
0.473 0.237 0.995
0.494 0.994 0.250
0.499 0.494 0.750
0.501 0.506 0.250
0.506 0.006 0.750
0.527 0.763 0.005
0.527 0.763 0.495
0.763 0.236 0.505
0.763 0.236 0.995
0.764 0.527 0.505
0.764 0.527 0.995
0.782 0.982 0.750
0.801 0.782 0.250
0.982 0.199 0.250
0.994 0.501 0.750

CeFe2I8 | Alexandria via LeMat-Bulk | GGA-PBE | relaxed; crystal system = monoclinic; ΔE_f (raw) = -0.588 eV per atom; DOS(E_F) = 9.26 states/eV/cell
1.0
6.507 -5.783 0.000
6.507 5.783 0.000
-0.294 0.000 7.009
Ce Fe I
1 2 8
direct
0.000 0.000 0.000
0.197 0.197 0.653
0.803 0.803 0.347
0.087 0.711 0.243
0.197 0.197 0.276
0.289 0.913 0.757
0.381 0.381 0.772
0.619 0.619 0.228
0.711 0.087 0.243
0.803 0.803 0.724
0.913 0.289 0.757

Ce7FeI12 | Alexandria via LeMat-Bulk | GGA-PBE | relaxed; crystal system = triclinic; ΔE_f (raw) = -1.124 eV per atom; DOS(E_F) = 48.71 states/eV/cell
1.0
9.800 0.000 0.000
-2.968 9.579 0.000
-3.008 -4.178 8.682
Ce Fe I
7 1 12
direct
0.000 0.000 0.000
0.062 0.219 0.628
0.142 0.426 0.349
0.298 0.138 0.404
0.535 0.615 0.818
0.756 0.080 0.220
0.921 0.794 0.278
0.046 0.111 0.319
0.108 0.336 0.999
0.180 0.583 0.700
0.262 0.799 0.394
0.354 0.039 0.095
0.421 0.265 0.778
0.508 0.498 0.474
0.554 0.724 0.158
0.642 0.961 0.850
0.707 0.181 0.532
0.800 0.421 0.235
0.884 0.637 0.928
0.952 0.883 0.628

Ce3FeI3 | Alexandria via LeMat-Bulk | GGA-PBE | relaxed; crystal system = monoclinic; ΔE_f (raw) = -0.831 eV per atom; DOS(E_F) = 31.01 states/eV/cell
1.0
9.238 0.000 0.000
0.000 4.327 0.000
-0.633 0.000 11.852
Ce Fe I
6 2 6
direct
0.095 0.250 0.406
0.113 0.250 0.819
0.316 0.750 0.619
0.684 0.250 0.381
0.887 0.750 0.181
0.905 0.750 0.594
0.112 0.250 0.637
0.888 0.750 0.363
0.134 0.250 0.120
0.366 0.750 0.886
0.392 0.750 0.357
0.608 0.250 0.643
0.634 0.250 0.114
0.866 0.750 0.880

Ce2InFe | Alexandria via LeMat-Bulk | GGA-PBE | relaxed; offset from the most stable computed form = 1.46 eV per formula unit; ΔE_f = 174 meV per atom; crystal system = trigonal; DOS(E_F) = 8.19 states/eV/cell
1.0
1.839 1.062 9.785
-1.839 1.062 9.785
0.000 -2.124 9.785
Ce In Fe
2 1 1
direct
0.115 0.115 0.115
0.885 0.885 0.885
0.000 0.000 0.000
0.500 0.500 0.500

Ce4InFe | Alexandria via LeMat-Bulk | GGA-PBE | relaxed; offset from the most stable computed form = 0.00 eV per formula unit; ΔE_f = -151 meV per atom; crystal system = triclinic; DOS(E_F) = 28.32 states/eV/cell
1.0
5.725 0.000 0.000
1.497 6.215 0.000
1.494 0.677 8.198
Ce In Fe
8 2 2
direct
0.007 0.223 0.419
0.136 0.887 0.163
0.249 0.434 0.932
0.430 0.314 0.571
0.570 0.686 0.429
0.751 0.566 0.068
0.864 0.113 0.837
0.993 0.777 0.581
0.438 0.858 0.788
0.562 0.142 0.212
0.183 0.559 0.273
0.817 0.441 0.727